K2CuH12S2O14: relaxed, PBE-GGA.

Unit cell a=6.2011 b=9.1909 c=12.2780 alpha=90.00 beta=90.00 gamma=103.94
Closest atoms and distances in Å follow each position.
Atoms (fractional coordinates):
K (0.6588, 0.3812, 0.1497)  7 O 2.81-3.11, 1 H 2.95
K (0.6588, 0.8812, 0.3503)  7 O 2.81-3.11, 1 H 2.95
K (0.3412, 0.1188, 0.6497)  7 O 2.81-3.11, 1 H 2.95
K (0.3412, 0.6188, 0.8503)  7 O 2.81-3.11, 1 H 2.95
Cu (0.0000, 0.0000, 0.0000)  4 O 1.96-2.04
Cu (0.0000, 0.5000, 0.5000)  4 O 1.96-2.04
H (0.3266, 0.3984, 0.4380)  1 O 1.00
H (0.0822, 0.7974, 0.3924)  1 O 0.99
H (0.9970, 0.3263, 0.6972)  1 O 0.99
H (0.6734, 0.6016, 0.5620)  1 O 1.00
H (0.3151, 0.0363, 0.1414)  1 O 1.00
H (0.3164, 0.6986, 0.5879)  1 O 1.00
H (0.9178, 0.7026, 0.8924)  1 O 0.99
H (0.3164, 0.1986, 0.9121)  1 O 1.00
H (0.9176, 0.2657, 0.3779)  1 O 1.00
H (0.3266, 0.8984, 0.0620)  1 O 1.00
H (0.0824, 0.2343, 0.8779)  1 O 1.00
H (0.9176, 0.7657, 0.1221)  1 O 1.00
H (0.3151, 0.5363, 0.3586)  1 O 1.00
H (0.0030, 0.1737, 0.1972)  1 O 0.99
H (0.0824, 0.7343, 0.6221)  1 O 1.00
H (0.6849, 0.4637, 0.6414)  1 O 1.00
H (0.0030, 0.6737, 0.3028)  1 O 0.99
H (0.6849, 0.9637, 0.8586)  1 O 1.00
H (0.0822, 0.2974, 0.1076)  1 O 0.99
H (0.6734, 0.1016, 0.9380)  1 O 1.00
H (0.9178, 0.2026, 0.6076)  1 O 0.99
H (0.6836, 0.3014, 0.4121)  1 O 1.00
H (0.9970, 0.8263, 0.8028)  1 O 0.99
H (0.6836, 0.8014, 0.0879)  1 O 1.00
S (0.2812, 0.6094, 0.1382)  4 O 1.48-1.51
S (0.7188, 0.3906, 0.8618)  4 O 1.48-1.51
S (0.7188, 0.8906, 0.6382)  4 O 1.48-1.51
S (0.2812, 0.1094, 0.3618)  4 O 1.48-1.51
O (0.0530, 0.1277, 0.3357)  1 S 1.50
O (0.2675, 0.4671, 0.0785)  1 S 1.48
O (0.9470, 0.3723, 0.8357)  1 S 1.50
O (0.2879, 0.4983, 0.4352)  2 H 1.00
O (0.4124, 0.1123, 0.2594)  1 S 1.49, 1 H 1.66
O (0.6000, 0.2630, 0.9331)  1 S 1.51, 1 H 1.65
O (0.7121, 0.5017, 0.5648)  2 H 1.00
O (0.6000, 0.7630, 0.5669)  1 S 1.51, 1 H 1.65
O (0.1603, 0.1524, 0.8886)  2 H 1.00
O (0.2879, 0.9983, 0.0648)  2 H 1.00
O (0.8397, 0.3476, 0.3886)  2 H 1.00
O (0.4000, 0.2370, 0.4331)  1 S 1.51, 1 H 1.65
O (0.1603, 0.6524, 0.6114)  2 H 1.00
O (0.5876, 0.3877, 0.7594)  1 S 1.49, 1 H 1.66
O (0.7121, 0.0017, 0.9352)  2 H 1.00
O (0.7325, 0.0329, 0.5785)  1 S 1.48
O (0.0335, 0.2954, 0.6237)  2 H 0.99
O (0.5876, 0.8877, 0.7406)  1 S 1.49, 1 H 1.66
O (0.2675, 0.9671, 0.4215)  1 S 1.48
O (0.9665, 0.7046, 0.3763)  2 H 0.99
O (0.8397, 0.8476, 0.1114)  2 H 1.00
O (0.9470, 0.8723, 0.6643)  1 S 1.50
O (0.4124, 0.6123, 0.2406)  1 S 1.49, 1 H 1.66
O (0.9665, 0.2046, 0.1237)  2 H 0.99
O (0.4000, 0.7370, 0.0669)  1 S 1.51, 1 H 1.65
O (0.0335, 0.7954, 0.8763)  2 H 0.99
O (0.0530, 0.6277, 0.1643)  1 S 1.50
O (0.7325, 0.5329, 0.9215)  1 S 1.48

Results
The space group is P2_1/c (14). For the total DFT energy (no corrections), the calculation gives -5.264 eV/atom. The total magnetic moment comes out at 2.00 Bohr magnetons per cell.